1 | K2AlBr2 | PBE-GGA | relaxed

## Properties
SG: P4/mbm (127)
Volume, Å³/cell: 344.40
Mass density, g/cm3: 2.555
Total magnetic moment, μB/f.u.: 0.0
Fermi-level density of states, states/eV per cell: 5.25

```
K2AlBr2
1.0
9.532 0.000 0.000
0.000 9.532 0.000
0.000 0.000 3.790
K Al Br
4 2 4
direct
0.357 0.857 0.000 K
0.857 0.643 0.000 K
0.643 0.143 0.000 K
0.143 0.357 0.000 K
0.000 0.000 0.000 Al
0.500 0.500 0.000 Al
0.154 0.654 0.500 Br
0.654 0.846 0.500 Br
0.846 0.346 0.500 Br
0.346 0.154 0.500 Br
```

2 | K2AlBr2 | PBE-GGA | relaxed

## Properties
SG: I4/mmm (139)
Volume, Å³/cell: 233.17
Mass density, g/cm3: 1.887
Total magnetic moment, μB/f.u.: 1.0
Fermi-level density of states, states/eV per cell: 2.20

```
K2AlBr2
1.0
-0.348 3.784 4.598
-5.952 -0.082 -0.383
-3.347 -3.215 6.261
K Al Br
2 1 2
direct
0.334 0.334 0.331 K
0.666 0.666 0.669 K
0.000 0.000 0.000 Al
0.750 0.250 0.500 Br
0.250 0.750 0.500 Br
```

1 takes first place; second place is 0.109 eV/atom up.

1 | KAlBr | PBE-GGA | relaxed

## Properties
SG: F-43m (216)
Volume, Å³/cell: 121.38
Mass density, g/cm3: 1.997
Total magnetic moment, μB/f.u.: 0.0
Fermi-level density of states, states/eV per cell: 3.02

```
KAlBr
1.0
5.558 0.000 0.000
2.779 4.813 0.000
2.779 1.604 4.538
K Al Br
1 1 1
direct
0.750 0.750 0.750 K
0.000 0.000 0.000 Al
0.500 0.500 0.500 Br
```

2 | KAlBr | PBE-GGA | relaxed

## Properties
SG: P-6m2 (187)
Volume, Å³/cell: 97.04
Mass density, g/cm3: 2.498
Total magnetic moment, μB/f.u.: 0.0
Fermi-level density of states, states/eV per cell: 1.41

```
KAlBr
1.0
5.354 0.000 0.000
-2.677 4.637 0.000
0.000 0.000 3.909
K Al Br
1 1 1
direct
0.333 0.667 0.666 K
0.000 0.000 0.167 Al
0.667 0.333 0.167 Br
```

3 | KAlBr | PBE-GGA | relaxed

## Properties
SG: Fmm2 (42)
Volume, Å³/cell: 94.01
Mass density, g/cm3: 2.579
Total magnetic moment, μB/f.u.: 0.0
Fermi-level density of states, states/eV per cell: 1.06

```
KAlBr
1.0
-1.290 0.108 -7.267
0.162 -3.238 -6.480
-3.546 -1.058 -0.481
K Al Br
1 1 1
direct
0.684 0.684 0.316 K
0.989 0.989 0.011 Al
0.327 0.327 0.673 Br
```

3 takes first place; second place is 0.009 eV/atom up.